[1]
A relaxed Pm3PrSm6Er2 crystal, computed with PBE.

Geometry as POSCAR:
```
Pm3PrSm6Er2
1.0
-4.9203 -1.7420 -3.4742
5.5805 -2.7176 -0.8867
-2.9635 -6.7656 9.4757
Sm Er Pm Pr
6 2 3 1
direct
0.0831 0.4177 0.2481 Sm
0.7485 0.7485 0.2480 Sm
0.2515 0.2515 0.7520 Sm
0.9169 0.5823 0.7519 Sm
0.4177 0.0831 0.2481 Sm
0.5823 0.9169 0.7519 Sm
0.6667 0.3333 0.0000 Er
0.3333 0.6667 0.0000 Er
0.1670 0.8330 0.5000 Pm
0.5000 0.5000 0.5000 Pm
0.8330 0.1670 0.5000 Pm
0.0000 0.0000 0.0000 Pr
```

Values from the calculation:
**Uncorrected energy**: -4.690 eV per atom
**Crystal system**: monoclinic
**DFT formation energy**: 0.02 eV per atom

[2]
A relaxed Pm2Pr2Sm4Er crystal, computed with PBE.

Geometry as POSCAR:
```
Pm2Pr2Sm4Er
1.0
-2.6552 0.1379 2.5309
7.5685 -2.6936 5.4248
-0.8600 9.6233 -1.4264
Pm Sm Er Pr
2 4 1 2
direct
0.1473 0.2946 0.6650 Pm
0.8527 0.7054 0.3350 Pm
0.4815 0.9631 0.6695 Sm
0.5185 0.0369 0.3305 Sm
0.1850 0.3700 0.3337 Sm
0.8150 0.6300 0.6663 Sm
0.0000 0.0000 0.0000 Er
0.3352 0.6704 0.0004 Pr
0.6648 0.3296 0.9996 Pr
```

Values from the calculation:
**Uncorrected energy**: -4.712 eV per atom
**Crystal system**: monoclinic
**DFT formation energy**: 0.01 eV per atom

[3]
A relaxed PmPr6Sm2Er crystal, computed with PBE.

Geometry as POSCAR:
```
PmPr6Sm2Er
1.0
-8.8494 -1.1357 -4.1790
-2.9075 -2.1643 8.2833
0.5965 8.7720 -2.1088
Pr Er Sm Pm
12 2 4 2
direct
0.1892 0.5678 0.0097 Pr
0.0538 0.1181 0.7551 Pr
0.9462 0.8819 0.2449 Pr
0.5538 0.7551 0.1181 Pr
0.3108 0.9903 0.4322 Pr
0.8816 0.2939 0.5066 Pr
0.4462 0.2449 0.8819 Pr
0.8108 0.4322 0.9903 Pr
0.3816 0.5066 0.2939 Pr
0.1184 0.7061 0.4934 Pr
0.6892 0.0097 0.5678 Pr
0.6184 0.4934 0.7061 Pr
0.7500 0.5897 0.4103 Er
0.2500 0.4103 0.5897 Er
0.9555 0.7029 0.8008 Sm
0.5445 0.1992 0.2971 Sm
0.4555 0.8008 0.7029 Sm
0.0445 0.2971 0.1992 Sm
0.7500 0.0225 0.9775 Pm
0.2500 0.9775 0.0225 Pm
```

Values from the calculation:
**Uncorrected energy**: -4.631 eV per atom
**Crystal system**: monoclinic
**DFT formation energy**: 0.11 eV per atom

[4]
A relaxed Pm6PrSm2Er crystal, computed with PBE.

Geometry as POSCAR:
```
Pm6PrSm2Er
1.0
-7.4887 3.5171 -5.2074
-5.1225 -2.2834 6.9850
4.2654 7.8698 0.3419
Pm Sm Er Pr
12 4 2 2
direct
0.6872 0.0136 0.5679 Pm
0.6188 0.4927 0.7066 Pm
0.3812 0.5073 0.2934 Pm
0.8128 0.4321 0.9864 Pm
0.9448 0.8789 0.2488 Pm
0.1188 0.7066 0.4927 Pm
0.8812 0.2934 0.5073 Pm
0.3128 0.9864 0.4321 Pm
0.4448 0.2488 0.8789 Pm
0.1872 0.5679 0.0136 Pm
0.0552 0.1211 0.7512 Pm
0.5552 0.7512 0.1211 Pm
0.9552 0.6992 0.8001 Sm
0.0448 0.3008 0.1999 Sm
0.4552 0.8001 0.6992 Sm
0.5448 0.1999 0.3008 Sm
0.7500 0.5906 0.4094 Er
0.2500 0.4094 0.5906 Er
0.2500 0.9776 0.0224 Pr
0.7500 0.0224 0.9776 Pr
```

Values from the calculation:
**Uncorrected energy**: -4.615 eV per atom
**Crystal system**: monoclinic
**DFT formation energy**: 0.11 eV per atom

[5]
A relaxed SrPmPrEr crystal, computed with PBE.

Geometry as POSCAR:
```
SrPmPrEr
1.0
5.9516 0.0000 0.0000
2.9758 5.1542 0.0000
2.9758 1.7181 4.8594
Sr Pr Pm Er
1 1 1 1
direct
0.2500 0.2500 0.2500 Sr
0.5000 0.5000 0.5000 Pr
0.0000 0.0000 0.0000 Pm
0.7500 0.7500 0.7500 Er
```

Values from the calculation:
**Uncorrected energy**: -3.733 eV per atom
**Crystal system**: cubic
**DFT formation energy**: 0.21 eV per atom

[6]
A relaxed Tb6PmPr2Er crystal, computed with PBE.

Geometry as POSCAR:
```
Tb6PmPr2Er
1.0
-5.6493 -0.9777 -7.9350
4.9188 -7.1116 -1.7540
-6.6587 -0.8820 5.7210
Er Tb Pr Pm
2 12 4 2
direct
0.7500 0.5930 0.4070 Er
0.2500 0.4070 0.5930 Er
0.1193 0.7048 0.4930 Tb
0.6193 0.4930 0.7048 Tb
0.5570 0.7413 0.1226 Tb
0.8807 0.2952 0.5070 Tb
0.3807 0.5070 0.2952 Tb
0.3125 0.9806 0.4266 Tb
0.9430 0.8774 0.2587 Tb
0.4430 0.2587 0.8774 Tb
0.1875 0.5734 0.0194 Tb
0.0570 0.1226 0.7413 Tb
0.8125 0.4266 0.9806 Tb
0.6875 0.0194 0.5734 Tb
0.5423 0.1949 0.2960 Pr
0.0423 0.2960 0.1949 Pr
0.4577 0.8051 0.7040 Pr
0.9577 0.7040 0.8051 Pr
0.2500 0.9829 0.0171 Pm
0.7500 0.0171 0.9829 Pm
```

Values from the calculation:
**Uncorrected energy**: -4.550 eV per atom
**Crystal system**: monoclinic
**DFT formation energy**: 0.12 eV per atom

[7]
A relaxed Tb2Pm5PrEr crystal, computed with PBE.

Geometry as POSCAR:
```
Tb2Pm5PrEr
1.0
5.7070 0.0000 0.0000
-2.8535 10.1370 0.0000
0.0000 0.0000 10.6559
Pm Tb Er Pr
10 4 2 2
direct
0.7029 0.4059 0.2075 Pm
0.3855 0.7710 0.0225 Pm
0.6145 0.2290 0.5225 Pm
0.2971 0.5941 0.7075 Pm
0.2799 0.5599 0.3140 Pm
0.4800 0.9600 0.7410 Pm
0.0169 0.0337 0.0212 Pm
0.5200 0.0400 0.2410 Pm
0.9831 0.9663 0.5212 Pm
0.7201 0.4401 0.8140 Pm
0.1136 0.2273 0.7337 Tb
0.8864 0.7727 0.2337 Tb
0.1159 0.2318 0.3182 Tb
0.8841 0.7682 0.8182 Tb
0.8006 0.6012 0.5113 Er
0.1994 0.3988 0.0113 Er
0.5871 0.1741 0.9545 Pr
0.4129 0.8259 0.4545 Pr
```

Values from the calculation:
**Uncorrected energy**: -4.558 eV per atom
**Crystal system**: orthorhombic
**DFT formation energy**: 0.15 eV per atom

[8]
A relaxed Tb3Pm6PrEr2 crystal, computed with PBE.

Geometry as POSCAR:
```
Tb3Pm6PrEr2
1.0
-6.2568 0.1092 0.0543
3.1287 -2.3673 4.8754
1.2696 11.3736 3.3709
Er Pm Tb Pr
2 6 3 1
direct
0.6667 0.3333 0.0000 Er
0.3333 0.6667 0.0000 Er
0.2504 0.2504 0.7495 Pm
0.5813 0.9159 0.7493 Pm
0.4187 0.0841 0.2507 Pm
0.0841 0.4187 0.2507 Pm
0.7496 0.7496 0.2505 Pm
0.9159 0.5813 0.7493 Pm
0.5000 0.5000 0.5000 Tb
0.8330 0.1670 0.5000 Tb
0.1670 0.8330 0.5000 Tb
0.0000 0.0000 0.0000 Pr
```

Values from the calculation:
**Uncorrected energy**: -4.678 eV per atom
**Crystal system**: monoclinic
**DFT formation energy**: 0.01 eV per atom

[9]
A relaxed Tb2Pm4Pr2Er crystal, computed with PBE.

Geometry as POSCAR:
```
Tb2Pm4Pr2Er
1.0
-3.4299 0.4307 -1.2187
2.4446 -8.2971 -4.3007
-3.3428 -0.8934 9.0921
Er Pm Pr Tb
1 4 2 2
direct
0.0000 0.0000 0.0000 Er
0.1856 0.3712 0.3337 Pm
0.4816 0.9631 0.6669 Pm
0.5184 0.0369 0.3331 Pm
0.8144 0.6288 0.6663 Pm
0.3350 0.6699 0.0021 Pr
0.6650 0.3301 0.9979 Pr
0.1474 0.2949 0.6655 Tb
0.8526 0.7051 0.3345 Tb
```

Values from the calculation:
**Uncorrected energy**: -4.702 eV per atom
**Crystal system**: monoclinic
**DFT formation energy**: 0.01 eV per atom

[10]
A relaxed TbPmPr3Er crystal, computed with PBE.

Geometry as POSCAR:
```
TbPmPr3Er
1.0
-2.3975 0.6269 2.6765
-8.1666 -3.1625 -6.5743
3.8438 -8.6405 5.4670
Pm Tb Pr Er
2 2 6 2
direct
0.2500 0.6278 0.1274 Pm
0.7500 0.3722 0.8726 Pm
0.2500 0.1210 0.2952 Tb
0.7500 0.8790 0.7048 Tb
0.7500 0.3697 0.5411 Pr
0.2500 0.1228 0.9542 Pr
0.7500 0.8772 0.0458 Pr
0.2500 0.6269 0.7922 Pr
0.2500 0.6303 0.4589 Pr
0.7500 0.3731 0.2078 Pr
0.7500 0.8792 0.3778 Er
0.2500 0.1208 0.6222 Er
```

Values from the calculation:
**Uncorrected energy**: -4.695 eV per atom
**Crystal system**: monoclinic
**DFT formation energy**: 0.02 eV per atom

[11]
A relaxed Tb4PmPr2Er crystal, computed with PBE.

Geometry as POSCAR:
```
Tb4PmPr2Er
1.0
-1.1207 -3.3921 3.6560
-0.8709 -3.5427 -3.5538
8.8901 -6.3463 -3.1630
Pm Tb Pr Er
1 4 2 1
direct
0.5000 0.5000 0.0000 Pm
0.0000 0.7528 0.7476 Tb
0.0000 0.2472 0.2524 Tb
0.5000 0.7480 0.2518 Tb
0.5000 0.2520 0.7482 Tb
0.0000 0.0000 0.0000 Pr
0.5000 0.0000 0.5000 Pr
0.0000 0.5000 0.5000 Er
```

Values from the calculation:
**Uncorrected energy**: -4.656 eV per atom
**Crystal system**: monoclinic
**DFT formation energy**: 0.02 eV per atom

[12]
A relaxed Tb6Pm3PrEr2 crystal, computed with PBE.

Geometry as POSCAR:
```
Tb6Pm3PrEr2
1.0
-1.1644 -1.3565 5.9470
2.6137 -4.2501 -3.6969
10.1329 5.7999 2.2294
Tb Pm Er Pr
6 3 2 1
direct
0.0832 0.4176 0.2482 Tb
0.2513 0.2513 0.7519 Tb
0.4176 0.0832 0.2482 Tb
0.5824 0.9168 0.7518 Tb
0.9168 0.5824 0.7518 Tb
0.7487 0.7487 0.2481 Tb
0.5000 0.5000 0.5000 Pm
0.1669 0.8331 0.5000 Pm
0.8331 0.1669 0.5000 Pm
0.3332 0.6668 0.0000 Er
0.6668 0.3332 0.0000 Er
0.0000 0.0000 0.0000 Pr
```

Values from the calculation:
**Uncorrected energy**: -4.646 eV per atom
**Crystal system**: monoclinic
**DFT formation energy**: 0.02 eV per atom

[13]
A relaxed Tb2Pm4PrEr crystal, computed with PBE.

Geometry as POSCAR:
```
Tb2Pm4PrEr
1.0
-3.3226 -1.0629 0.9945
2.4437 -3.1012 4.8499
-0.2484 8.5919 8.3525
Pm Pr Tb Er
4 1 2 1
direct
0.0000 0.7516 0.7468 Pm
0.0000 0.2484 0.2532 Pm
0.5000 0.7494 0.2525 Pm
0.5000 0.2506 0.7475 Pm
0.5000 0.5000 0.0000 Pr
0.0000 0.0000 0.0000 Tb
0.5000 0.0000 0.5000 Tb
0.0000 0.5000 0.5000 Er
```

Values from the calculation:
**Uncorrected energy**: -4.683 eV per atom
**Crystal system**: monoclinic
**DFT formation energy**: 0.02 eV per atom

[14]
A relaxed TbPm3PrEr crystal, computed with PBE.

Geometry as POSCAR:
```
TbPm3PrEr
1.0
-0.4682 -3.9511 3.2477
7.7980 0.7305 2.0128
-7.0703 5.7079 5.9249
Er Pm Tb Pr
2 6 2 2
direct
0.2500 0.1252 0.6249 Er
0.7500 0.8748 0.3751 Er
0.2500 0.1275 0.9577 Pm
0.7500 0.3781 0.2080 Pm
0.7500 0.8725 0.0423 Pm
0.2500 0.6219 0.7920 Pm
0.7500 0.3722 0.5425 Pm
0.2500 0.6278 0.4575 Pm
0.7500 0.3754 0.8748 Tb
0.2500 0.6246 0.1252 Tb
0.2500 0.1232 0.2924 Pr
0.7500 0.8768 0.7076 Pr
```

Values from the calculation:
**Uncorrected energy**: -4.684 eV per atom
**Crystal system**: monoclinic
**DFT formation energy**: 0.02 eV per atom

[15]
A relaxed TbPmPrEr3 crystal, computed with PBE.

Geometry as POSCAR:
```
TbPmPrEr3
1.0
5.8889 0.0000 0.0000
-2.9444 5.6131 0.0000
0.0000 0.0000 11.7851
Er Pm Tb Pr
6 2 2 2
direct
0.3281 0.6562 0.9970 Er
0.1716 0.3431 0.7500 Er
0.3281 0.6562 0.5030 Er
0.6719 0.3438 0.0030 Er
0.6719 0.3438 0.4970 Er
0.8284 0.6569 0.2500 Er
0.5035 0.0071 0.7500 Pm
0.4965 0.9929 0.2500 Pm
0.1749 0.3498 0.2500 Tb
0.8251 0.6502 0.7500 Tb
0.0000 0.0000 0.0000 Pr
0.0000 0.0000 0.5000 Pr
```

Values from the calculation:
**Uncorrected energy**: -4.528 eV per atom
**Crystal system**: orthorhombic
**DFT formation energy**: 0.11 eV per atom

[16]
A relaxed TbPm4Pr2Er2 crystal, computed with PBE.

Geometry as POSCAR:
```
TbPm4Pr2Er2
1.0
5.1331 0.0000 0.0000
-2.5666 7.7017 0.0383
0.0000 -2.6139 7.6416
Tb Er Pr Pm
1 2 2 4
direct
0.0000 0.0000 0.0000 Tb
0.6668 0.3337 0.0002 Er
0.3332 0.6663 0.9998 Er
0.8883 0.7765 0.3310 Pr
0.1117 0.2235 0.6690 Pr
0.2213 0.4426 0.3300 Pm
0.7787 0.5574 0.6700 Pm
0.5556 0.1111 0.3300 Pm
0.4444 0.8889 0.6700 Pm
```

Values from the calculation:
**Uncorrected energy**: -4.681 eV per atom
**Crystal system**: monoclinic
**DFT formation energy**: 0.02 eV per atom

[17]
A relaxed Tb6PmPrEr2 crystal, computed with PBE.

Geometry as POSCAR:
```
Tb6PmPrEr2
1.0
9.1311 -1.9977 -2.0732
0.8412 8.5461 -1.9526
0.8412 -2.2680 8.4678
Pm Er Tb Pr
2 4 12 2
direct
0.2500 0.9694 0.0306 Pm
0.7500 0.0306 0.9694 Pm
0.4520 0.8031 0.7025 Er
0.9520 0.7025 0.8031 Er
0.5480 0.1969 0.2975 Er
0.0480 0.2975 0.1969 Er
0.8200 0.4346 0.9792 Tb
0.4431 0.2451 0.8856 Tb
0.3200 0.9792 0.4346 Tb
0.0569 0.1144 0.7549 Tb
0.6183 0.4864 0.7058 Tb
0.6800 0.0208 0.5654 Tb
0.3817 0.5137 0.2942 Tb
0.5569 0.7549 0.1144 Tb
0.8817 0.2942 0.5137 Tb
0.9431 0.8856 0.2451 Tb
0.1800 0.5654 0.0208 Tb
0.1183 0.7058 0.4864 Tb
0.2500 0.4067 0.5933 Pr
0.7500 0.5933 0.4067 Pr
```

Values from the calculation:
**Uncorrected energy**: -4.521 eV per atom
**Crystal system**: monoclinic
**DFT formation energy**: 0.12 eV per atom

[18]
A relaxed Tb2PmPrEr2 crystal, computed with PBE.

Geometry as POSCAR:
```
Tb2PmPrEr2
1.0
5.6774 0.0000 0.0000
0.0000 9.8509 0.0000
0.0000 0.0000 6.9606
Er Tb Pm Pr
4 4 2 2
direct
0.0000 0.3337 0.7503 Er
0.5000 0.1663 0.2503 Er
0.5000 0.8337 0.7497 Er
0.0000 0.6663 0.2497 Er
0.0000 0.3333 0.2496 Tb
0.0000 0.6667 0.7504 Tb
0.5000 0.1667 0.7496 Tb
0.5000 0.8333 0.2504 Tb
0.0000 0.0000 0.5000 Pm
0.5000 0.5000 0.0000 Pm
0.5000 0.5000 0.5000 Pr
0.0000 0.0000 0.0000 Pr
```

Values from the calculation:
**Uncorrected energy**: -4.582 eV per atom
**Crystal system**: orthorhombic
**DFT formation energy**: 0.07 eV per atom

[19]
A relaxed Tb6Pm2PrEr crystal, computed with PBE.

Geometry as POSCAR:
```
Tb6Pm2PrEr
1.0
-2.8550 8.7133 -3.1831
-5.4654 -4.4490 -5.3216
-2.6011 1.4695 8.3101
Tb Pm Pr Er
12 4 2 2
direct
0.4430 0.2561 0.8765 Tb
0.3142 0.9817 0.4301 Tb
0.0570 0.1235 0.7439 Tb
0.6193 0.4927 0.7062 Tb
0.8142 0.4301 0.9817 Tb
0.5570 0.7439 0.1235 Tb
0.6858 0.0183 0.5699 Tb
0.8807 0.2938 0.5073 Tb
0.1193 0.7062 0.4927 Tb
0.1858 0.5699 0.0183 Tb
0.9430 0.8765 0.2561 Tb
0.3807 0.5073 0.2938 Tb
0.4561 0.8026 0.6998 Pm
0.5439 0.1974 0.3002 Pm
0.0439 0.3002 0.1974 Pm
0.9561 0.6998 0.8026 Pm
0.7500 0.0201 0.9799 Pr
0.2500 0.9799 0.0201 Pr
0.2500 0.4082 0.5918 Er
0.7500 0.5918 0.4082 Er
```

Values from the calculation:
**Uncorrected energy**: -4.547 eV per atom
**Crystal system**: monoclinic
**DFT formation energy**: 0.12 eV per atom